Computed, not measured: crystalline CoPdSeO at its relaxed geometry at the PBE+U level of DFT.

Properties
- M_tot (Bohr magnetons per cell) = 4.826
- SG = P4/nmm, No. 129
- crystal system = tetragonal
- offset from the most stable computed form (meV per atom) = 412
- calculated volume (Å³ per atom) = 15.39

Unit cell a=4.157 b=4.157 c=7.126 alpha=90.00 beta=90.00 gamma=90.00
Element x y z (fractional)
Co  0.750  0.750  0.243
Co  0.250  0.250  0.757
O  0.750  0.750  0.493
O  0.250  0.250  0.507
Pd  0.750  0.250  0.000
Pd  0.250  0.750  0.000
Se  0.250  0.250  0.254
Se  0.750  0.750  0.746